No. 1
Cs3ScF6: relaxed, PBEsol.

Lattice parameters (Å, degrees): 6.6283 6.6283 9.7378 90.00 90.00 90.00
Closest atoms and distances in Å follow each position.
Atoms (fractional coordinates):
F 0.3657 0.7741 0.5000  1 Sc 2.02
F 0.2259 0.3657 0.5000  1 Sc 2.02
F 0.2741 0.8657 0.0000  1 Sc 2.02
F 0.5000 0.5000 0.2917  1 Sc 2.03
F 0.8657 0.7259 0.0000  1 Sc 2.02
F 0.0000 0.0000 0.2083  1 Sc 2.03
F 0.7259 0.1343 0.0000  1 Sc 2.02
F 0.1343 0.2741 0.0000  1 Sc 2.02
F 0.5000 0.5000 0.7083  1 Sc 2.03
F 0.6343 0.2259 0.5000  1 Sc 2.02
F 0.7741 0.6343 0.5000  1 Sc 2.02
F 0.0000 0.0000 0.7917  1 Sc 2.03
Cs 0.0000 0.5000 0.7500  8 F 2.99-3.34
Cs 0.5000 0.0000 0.2500  8 F 2.99-3.34
Cs 0.5000 0.5000 0.0000  6 F 2.84-2.85
Cs 0.0000 0.5000 0.2500  8 F 2.99-3.34
Cs 0.5000 0.0000 0.7500  8 F 2.99-3.34
Cs 0.0000 0.0000 0.5000  6 F 2.84-2.85
Sc 0.0000 0.0000 0.0000  6 F 2.02-2.03
Sc 0.5000 0.5000 0.5000  6 F 2.02-2.03

Calculated values
- Energy: -5.41 eV/atom
- Symmetry: P4/mnc

No. 2
AgAs2Br: relaxed, PBEsol.

Lattice parameters (Å, degrees): 3.5763 3.5763 6.7192 90.00 90.00 90.00
Closest atoms and distances in Å follow each position.
Atoms (fractional coordinates):
As 0.5000 0.5000 0.1526  1 Ag 2.62, 4 As 2.65
As 0.0000 0.0000 0.0330  4 As 2.65
Br 0.0000 0.0000 0.5520  4 Ag 2.90, 1 As 3.23
Ag 0.5000 0.5000 0.7624  1 As 2.62, 4 Br 2.90

Calculated values
- Excess energy over the best structure of this formula in the dataset: 155 meV per atom
- Symmetry: P4mm

No. 3
KTa3F: relaxed, PBEsol.

Lattice parameters (Å, degrees): 4.4833 4.4833 4.4833 90.00 90.00 90.00
Closest atoms and distances in Å follow each position.
Atoms (fractional coordinates):
Ta 0.0000 0.5000 0.0000  2 F 2.24
Ta 0.0000 0.0000 0.5000  2 F 2.24
Ta 0.5000 0.0000 0.0000  2 F 2.24
F 0.0000 0.0000 0.0000  6 Ta 2.24
K 0.5000 0.5000 0.5000  12 Ta 3.17

Calculated values
- Energy: -7.06 eV/atom
- Symmetry: Pm-3m

No. 4
SrMn2PI: relaxed, PBEsol.

Lattice parameters (Å, degrees): 6.0214 6.1373 6.1373 90.00 90.00 90.00
Closest atoms and distances in Å follow each position.
Atoms (fractional coordinates):
Sr 0.0000 0.0000 0.0000  2 I 3.01, 4 Mn 3.07
Mn 0.0000 0.5000 0.0000  2 Sr 3.07
Mn 0.0000 0.0000 0.5000  2 Sr 3.07
P 0.5000 0.5000 0.5000  8 Mn 4.30, 4 I 4.34
I 0.5000 0.0000 0.0000  2 Sr 3.01

Calculated values
- Energy: -3.98 eV/atom
- Symmetry: P4/mmm

No. 5
Ca5Ag24: relaxed, PBEsol.

Lattice parameters (Å, degrees): 8.8876 8.8876 8.8876 109.47 109.47 109.47
Closest atoms and distances in Å follow each position.
Atoms (fractional coordinates):
Ag 0.2700 0.6745 0.6745  7 Ag 2.69-2.99, 1 Ca 2.90
Ag 0.6223 0.8092 0.0000  8 Ag 2.69-2.99
Ag 0.8092 0.6223 0.0000  8 Ag 2.69-2.99
Ag 0.6745 0.2700 0.6745  7 Ag 2.69-2.99, 1 Ca 2.90
Ag 0.4045 0.7300 0.4045  7 Ag 2.69-2.99, 1 Ca 2.90
Ag 0.4045 0.4045 0.7300  7 Ag 2.69-2.99, 1 Ca 2.90
Ag 0.5955 0.3255 0.0000  7 Ag 2.69-2.99, 1 Ca 2.90
Ag 0.0000 0.6223 0.8092  8 Ag 2.69-2.99
Ag 0.6745 0.6745 0.2700  7 Ag 2.69-2.99, 1 Ca 2.90
Ag 0.8092 0.0000 0.6223  8 Ag 2.69-2.99
Ag 0.3777 0.1870 0.3777  8 Ag 2.69-2.99
Ag 0.0000 0.5955 0.3255  7 Ag 2.69-2.99, 1 Ca 2.90
Ag 0.7300 0.4045 0.4045  7 Ag 2.69-2.99, 1 Ca 2.90
Ag 0.1908 0.8130 0.1908  8 Ag 2.69-2.99
Ag 0.6223 0.0000 0.8092  8 Ag 2.69-2.99
Ag 0.3777 0.3777 0.1870  8 Ag 2.69-2.99
Ag 0.3255 0.5955 0.0000  7 Ag 2.69-2.99, 1 Ca 2.90
Ag 0.1908 0.1908 0.8130  8 Ag 2.69-2.99
Ag 0.3255 0.0000 0.5955  7 Ag 2.69-2.99, 1 Ca 2.90
Ag 0.0000 0.8092 0.6223  8 Ag 2.69-2.99
Ag 0.8130 0.1908 0.1908  8 Ag 2.69-2.99
Ag 0.5955 0.0000 0.3255  7 Ag 2.69-2.99, 1 Ca 2.90
Ag 0.0000 0.3255 0.5955  7 Ag 2.69-2.99, 1 Ca 2.90
Ag 0.1870 0.3777 0.3777  8 Ag 2.69-2.99
Ca 0.6232 0.6232 0.6232  12 Ag 2.90-3.21
Ca 0.3768 0.0000 0.0000  12 Ag 2.90-3.21
Ca 0.0000 0.0000 0.3768  12 Ag 2.90-3.21
Ca 0.0000 0.0000 0.0000  12 Ag 3.22, 4 Ca 3.35
Ca 0.0000 0.3768 0.0000  12 Ag 2.90-3.21

Calculated values
- Energy of formation: -126 meV/atom
- Symmetry: I-43m

No. 6
RePb2: relaxed, PBEsol.

Lattice parameters (Å, degrees): 3.1442 3.1442 7.3611 102.33 102.33 90.00
Closest atoms and distances in Å follow each position.
Atoms (fractional coordinates):
Pb 0.3626 0.3626 0.7252  4 Re 2.94, 4 Pb 3.14
Pb 0.6374 0.6374 0.2748  4 Re 2.94, 4 Pb 3.14
Re 0.0000 0.0000 0.0000  8 Pb 2.94, 4 Re 3.14

Calculated values
- Energy of formation: 844 meV/atom
- Excess energy over the best structure of this formula in the dataset: 0 meV per atom
- Symmetry: I4/mmm

No. 7
KBaTc: relaxed, PBEsol.

Lattice parameters (Å, degrees): 5.2948 5.2948 5.2948 60.00 60.00 60.00
Closest atoms and distances in Å follow each position.
Atoms (fractional coordinates):
K 0.0000 0.0000 0.0000  4 Ba 3.24
Tc 0.5000 0.5000 0.5000  4 Ba 3.24
Ba 0.2500 0.2500 0.2500  4 Tc 3.24, 4 K 3.24

Calculated values
- Energy of formation: 1719 meV/atom
- Excess energy over the best structure of this formula in the dataset: 471 meV per atom
- Symmetry: F-43m

No. 8
NaBS2N: relaxed, PBEsol.

Lattice parameters (Å, degrees): 2.6357 5.3648 5.3648 90.00 90.00 90.00
Closest atoms and distances in Å follow each position.
Atoms (fractional coordinates):
S 0.0000 0.0000 0.5000  2 S 2.64, 2 B 2.68
S 0.0000 0.5000 0.0000  2 S 2.64, 2 B 2.68
Na 0.5000 0.5000 0.5000  2 Na 2.64
N 0.5000 0.0000 0.0000  2 B 1.32
B 0.0000 0.0000 0.0000  2 N 1.32

Calculated values
- Energy: -5.19 eV/atom
- Symmetry: P4/mmm

No. 9
Mn2FeO4: relaxed, PBEsol.

Lattice parameters (Å, degrees): 5.6961 6.1570 5.6961 117.55 90.00 117.55
Closest atoms and distances in Å follow each position.
Atoms (fractional coordinates):
O 0.7515 0.5029 0.7303  2 Mn 1.93, 1 Fe 1.94
O 0.2485 0.4971 0.7274  2 Mn 1.93, 1 Fe 1.94
O 0.7515 0.5029 0.2726  2 Mn 1.93, 1 Fe 1.94
O 0.7697 0.9971 0.7486  2 Mn 1.93, 1 Fe 1.94
O 0.2274 0.9971 0.7485  2 Mn 1.93, 1 Fe 1.94
O 0.7726 0.0029 0.2515  2 Mn 1.93, 1 Fe 1.94
O 0.2485 0.4971 0.2697  2 Mn 1.93, 1 Fe 1.94
O 0.2303 0.0029 0.2514  2 Mn 1.93, 1 Fe 1.94
Mn 0.0000 0.5000 0.5000  4 O 1.93
Mn 0.5000 0.5000 0.5000  4 O 1.93
Mn 0.0000 0.0000 0.0000  4 O 1.93
Mn 0.0000 0.0000 0.5000  4 O 1.93
Fe 0.6250 0.2500 0.8750  4 O 1.94
Fe 0.3750 0.7500 0.1250  4 O 1.94

Calculated values
- Energy: -8.40 eV/atom
- Symmetry: I4_1/amd

No. 10
DyMg2: relaxed, PBEsol.

Lattice parameters (Å, degrees): 3.2168 5.1865 5.1865 120.00 90.00 90.00
Closest atoms and distances in Å follow each position.
Atoms (fractional coordinates):
Dy 0.0000 0.0000 0.0000  2 Dy 3.22, 12 Mg 3.40
Mg 0.5000 0.3333 0.6667  5 Mg 2.99-3.22
Mg 0.5000 0.6667 0.3333  5 Mg 2.99-3.22

Calculated values
- Energy of formation: -61 meV/atom
- Symmetry: P6/mmm

No. 11
Co4MoPt: relaxed, PBEsol.

Lattice parameters (Å, degrees): 4.6089 4.6089 4.6089 60.00 60.00 60.00
Closest atoms and distances in Å follow each position.
Atoms (fractional coordinates):
Mo 0.7500 0.7500 0.7500  12 Co 2.70, 4 Pt 2.82
Pt 0.0000 0.0000 0.0000  12 Co 2.70, 4 Mo 2.82
Co 0.3748 0.3748 0.3748  6 Co 2.30-2.31
Co 0.3748 0.8756 0.3748  6 Co 2.30-2.31
Co 0.8756 0.3748 0.3748  6 Co 2.30-2.31
Co 0.3748 0.3748 0.8756  6 Co 2.30-2.31

Calculated values
- Energy of formation: -52 meV/atom
- Symmetry: F-43m

No. 12
NiOsRh2: relaxed, PBEsol.

Lattice parameters (Å, degrees): 2.6559 2.6559 8.6429 81.16 81.16 60.00
Closest atoms and distances in Å follow each position.
Atoms (fractional coordinates):
Ni 0.5008 0.5008 0.4977  3 Os 2.55, 3 Rh 2.58, 6 Ni 2.66
Rh 0.7529 0.7529 0.7414  3 Ni 2.58, 9 Rh 2.66-2.70
Rh 0.9991 0.9991 0.0027  9 Rh 2.66-2.70, 3 Os 2.66
Os 0.2473 0.2473 0.2582  3 Ni 2.55, 6 Os 2.66, 3 Rh 2.66

Calculated values
- Energy of formation: 78 meV/atom
- Excess energy over the best structure of this formula in the dataset: 53 meV per atom
- Symmetry: R3m

No. 13
RbHfFe3: relaxed, PBEsol.

Lattice parameters (Å, degrees): 4.4134 4.4134 4.4134 90.00 90.00 90.00
Closest atoms and distances in Å follow each position.
Atoms (fractional coordinates):
Hf 0.5000 0.5000 0.5000  12 Fe 3.12
Fe 0.0000 0.0000 0.5000  2 Rb 2.21
Fe 0.5000 0.0000 0.0000  2 Rb 2.21
Fe 0.0000 0.5000 0.0000  2 Rb 2.21
Rb 0.0000 0.0000 0.0000  6 Fe 2.21

Calculated values
- Energy of formation: 2389 meV/atom
- Symmetry: Pm-3m

No. 14
Li3Ta: relaxed, PBEsol.

Lattice parameters (Å, degrees): 4.4531 5.6435 5.6435 120.00 90.00 90.00
Closest atoms and distances in Å follow each position.
Atoms (fractional coordinates):
Li 0.7500 0.1650 0.3300  8 Li 2.75-2.85, 4 Ta 2.77-2.82
Li 0.2500 0.3300 0.1650  8 Li 2.75-2.85, 4 Ta 2.77-2.82
Li 0.2500 0.8350 0.6700  8 Li 2.75-2.85, 4 Ta 2.77-2.82
Li 0.2500 0.8350 0.1650  8 Li 2.75-2.85, 4 Ta 2.77-2.82
Li 0.7500 0.1650 0.8350  8 Li 2.75-2.85, 4 Ta 2.77-2.82
Li 0.7500 0.6700 0.8350  8 Li 2.75-2.85, 4 Ta 2.77-2.82
Ta 0.2500 0.3333 0.6667  12 Li 2.77-2.82
Ta 0.7500 0.6667 0.3333  12 Li 2.77-2.82

Calculated values
- Energy of formation: 847 meV/atom
- Excess energy over the best structure of this formula in the dataset: 375 meV per atom
- Symmetry: P6_3/mmc

No. 15
LaSb2Rh: relaxed, PBEsol.

Lattice parameters (Å, degrees): 4.1883 4.1883 7.2586 73.23 73.23 60.00
Closest atoms and distances in Å follow each position.
Atoms (fractional coordinates):
La 0.5193 0.5193 0.4422  3 Rh 2.83
Rh 0.2575 0.2575 0.2276  3 Sb 2.70, 3 La 2.83
Sb 0.9824 0.9824 0.0529  3 Rh 2.70
Sb 0.7409 0.7409 0.7773  3 Sb 3.07, 3 La 3.33

Calculated values
- Energy: -6.00 eV/atom
- Symmetry: R3m

No. 16
BeCu2Mo: relaxed, PBEsol.

Lattice parameters (Å, degrees): 2.5000 4.2492 4.9768 115.27 104.55 90.00
Closest atoms and distances in Å follow each position.
Atoms (fractional coordinates):
Mo 0.5000 0.0000 0.0000  4 Be 2.47, 2 Mo 2.50, 4 Cu 2.72
Cu 0.7208 0.7208 0.4416  2 Be 2.28, 6 Cu 2.50-2.52
Cu 0.2792 0.2792 0.5584  2 Be 2.28, 6 Cu 2.50-2.52
Be 0.0000 0.5000 0.0000  4 Cu 2.28, 4 Mo 2.47, 2 Be 2.50

Calculated values
- Energy of formation: 167 meV/atom
- Symmetry: Immm

No. 17
Ge2BN: relaxed, PBEsol.

Lattice parameters (Å, degrees): 4.6306 4.6306 5.7133 113.91 113.91 90.00
Closest atoms and distances in Å follow each position.
Atoms (fractional coordinates):
Ge 0.8778 0.3750 0.2500  2 N 2.01, 2 B 2.02
Ge 0.6250 0.6278 0.7500  2 N 2.01, 2 B 2.02
Ge 0.3722 0.8750 0.2500  2 N 2.01, 2 B 2.02
Ge 0.1250 0.1222 0.7500  2 N 2.01, 2 B 2.02
N 0.0000 0.0000 0.0000  4 Ge 2.01
N 0.2500 0.7500 0.5000  4 Ge 2.01
B 0.5000 0.5000 0.0000  4 Ge 2.02
B 0.7500 0.2500 0.5000  4 Ge 2.02

Calculated values
- Energy: -6.36 eV/atom
- Symmetry: I-42d

No. 18
SnPCl2: relaxed, PBEsol.

Lattice parameters (Å, degrees): 3.2442 3.2442 9.5639 80.24 80.24 60.00
Closest atoms and distances in Å follow each position.
Atoms (fractional coordinates):
Cl 0.0813 0.0813 0.7562  1 P 2.29
Cl 0.9187 0.9187 0.2438  1 P 2.29
P 0.0000 0.0000 0.0000  2 Cl 2.29
Sn 0.5000 0.5000 0.5000  6 Cl 3.05, 6 Sn 3.24

Calculated values
- Excess energy over the best structure of this formula in the dataset: 0 meV per atom
- Symmetry: R-3m

No. 19
MgVBiO5: relaxed, PBEsol.

Lattice parameters (Å, degrees): 5.3214 7.5957 11.5313 90.00 90.00 107.25
Closest atoms and distances in Å follow each position.
Atoms (fractional coordinates):
O 0.6892 0.0148 0.2146  1 V 1.72
O 0.9848 0.1356 0.6757  1 V 1.69
O 0.0152 0.8644 0.3243  1 V 1.69
O 0.8108 0.4852 0.7146  1 V 1.72
O 0.4699 0.1728 0.5684  1 V 1.73
O 0.4231 0.6723 0.0724  1 V 1.72
O 0.7548 0.5152 0.4727  2 Mg 2.07-2.13, 2 Bi 2.16-2.23
O 0.7452 0.9848 0.9727  2 Mg 2.07-2.13, 2 Bi 2.16-2.23
O 0.5152 0.3644 0.1757  1 V 1.69
O 0.0301 0.3272 0.0684  1 V 1.73
O 0.5301 0.8272 0.4316  1 V 1.73
O 0.9231 0.1723 0.4276  1 V 1.72
O 0.5769 0.3277 0.9276  1 V 1.72
O 0.2548 0.0152 0.0273  2 Mg 2.07-2.13, 2 Bi 2.16-2.23
O 0.9699 0.6728 0.9316  1 V 1.73
O 0.3108 0.9852 0.7854  1 V 1.72
O 0.0769 0.8277 0.5724  1 V 1.72
O 0.2452 0.4848 0.5273  2 Mg 2.07-2.13, 2 Bi 2.16-2.23
O 0.1892 0.5148 0.2854  1 V 1.72
O 0.4848 0.6355 0.8243  1 V 1.69
V 0.2843 0.4716 0.1483  4 O 1.69-1.73
V 0.7843 0.9716 0.3517  4 O 1.69-1.73
V 0.7157 0.5284 0.8517  4 O 1.69-1.73
V 0.2157 0.0284 0.6483  4 O 1.69-1.73
Bi 0.8852 0.8223 0.0972  4 O 2.16-2.40
Bi 0.1148 0.1777 0.9028  4 O 2.16-2.40
Bi 0.6148 0.6777 0.5972  4 O 2.16-2.40
Bi 0.3852 0.3223 0.4028  4 O 2.16-2.40
Mg 0.6257 0.1762 0.0783  6 O 2.04-2.14
Mg 0.1257 0.6762 0.4217  6 O 2.04-2.14
Mg 0.3743 0.8238 0.9217  6 O 2.04-2.14
Mg 0.8743 0.3238 0.5783  6 O 2.04-2.14

Calculated values
- Excess energy over the best structure of this formula in the dataset: 0 meV per atom
- Symmetry: P2_1/c

No. 20
BaH4O3: relaxed, PBEsol.

Lattice parameters (Å, degrees): 3.9448 7.2860 5.5658 90.00 90.00 90.00
Closest atoms and distances in Å follow each position.
Atoms (fractional coordinates):
H 0.4999 0.4186 0.3897  1 O 0.98
H 0.5001 0.5814 0.8897  1 O 0.98
H 0.5000 0.0220 0.5912  1 O 0.99
H 0.7958 0.8852 0.7981  1 O 1.03
H 0.5000 0.9780 0.0912  1 O 0.99
H 0.7958 0.1148 0.2981  1 O 1.03
H 0.2042 0.8852 0.7981  1 O 1.03
H 0.2042 0.1148 0.2981  1 O 1.03
O 0.0000 0.7979 0.8077  2 H 1.03
O 0.0000 0.2021 0.3077  2 H 1.03
O 0.5000 0.9662 0.2685  1 H 0.99
O 0.5000 0.0338 0.7685  1 H 0.99
O 0.5000 0.5163 0.0444  1 H 0.98
O 0.5000 0.4837 0.5444  1 H 0.98
Ba 0.0000 0.3130 0.8058  8 O 2.75-2.91, 2 H 2.82
Ba 0.0000 0.6870 0.3058  8 O 2.75-2.91, 2 H 2.82

Calculated values
- Excess energy over the best structure of this formula in the dataset: 7 meV per atom
- Symmetry: Pmc2_1